(1)
Entry from Alexandria via LeMat-Bulk: a relaxed MnCdO3 crystal (PBE+U).

Total moment (μB per formula unit): 4.88

a b c (Å): 4.046 4.046 4.046
angles (deg): 90.00 90.00 90.00
Atoms (fractional coordinates):
Mn1 0.500 0.500 0.500
O1 0.000 0.500 0.000
O2 0.000 0.000 0.500
O3 0.500 0.000 0.000
Cd1 0.000 0.000 0.000

(2)
Entry from Alexandria via LeMat-Bulk: a relaxed MnCdO2 crystal (PBE+U).

Total moment (μB per formula unit): 5.00

a b c (Å): 6.179 7.132 5.647
angles (deg): 90.00 90.00 90.00
Atoms (fractional coordinates):
Mn1 0.081 0.874 0.004
Mn2 0.919 0.126 0.504
Mn3 0.419 0.374 0.504
Mn4 0.581 0.626 0.004
O1 0.407 0.864 0.106
O2 0.593 0.136 0.606
O3 0.093 0.364 0.606
O4 0.907 0.636 0.106
O5 0.072 0.887 0.634
O6 0.928 0.113 0.134
O7 0.428 0.387 0.134
O8 0.572 0.613 0.634
Cd1 0.087 0.376 0.006
Cd2 0.913 0.624 0.506
Cd3 0.413 0.876 0.506
Cd4 0.587 0.124 0.006

(3)
Entry from Alexandria via LeMat-Bulk: a relaxed MnCd3O crystal (PBE+U).

Distance to the lowest polymorph of the same formula (meV/atom): 825
Total moment (μB per formula unit): 4.73

a b c (Å): 5.326 5.326 5.326
angles (deg): 90.00 90.00 90.00
Atoms (fractional coordinates):
Mn1 0.000 0.000 0.000
O1 0.500 0.500 0.500
Cd1 0.000 0.500 0.000
Cd2 0.000 0.000 0.500
Cd3 0.500 0.000 0.000

| no. | uncorrected energy (eV/atom) |
| --- | --- |
| 1 | -4.768 |
| 2 | -5.885 |
| 3 | -2.126 |